Crystalline DyHo6Pd3 at its relaxed geometry. Source: the Alexandria database, functional PBE.

```
DyHo6Pd3
1.0
-3.198 -3.250 -5.570
7.413 -4.098 -1.866
-3.399 -5.888 5.387
Dy Ho Pd
2 12 6
Cartesian
-0.092 -5.449 2.858
2.250 -6.422 -2.570
2.570 -7.151 1.132
0.122 -8.917 -1.084
-0.011 -9.108 2.326
2.557 -10.043 -3.255
-3.540 -6.347 4.244
-2.573 -7.165 0.823
4.863 -4.574 -0.306
4.930 -6.306 -5.295
-2.201 -3.660 0.404
0.367 -4.595 -5.176
1.217 -3.787 -0.054
-1.231 -5.553 -2.270
2.903 -9.390 -0.421
-0.905 -11.380 -1.724
-0.024 -6.349 0.231
0.041 -7.698 -3.671
-3.398 -5.178 -3.912
0.410 -3.188 -2.608
```

Properties
Crystal system: orthorhombic
Raw total energy: -5.275 eV per atom
DOS(E_F): 1.105 states/eV/atom

=====

Crystalline DyHoPd4 at its relaxed geometry. Source: the Alexandria database, functional PBE.

```
DyHoPd4
1.0
4.057 0.000 -0.630
0.000 3.911 0.000
0.319 0.000 15.426
Dy Ho Pd
2 2 8
Cartesian
3.428 1.956 8.696
0.948 1.956 6.101
2.348 0.000 1.746
2.027 0.000 13.051
2.670 1.956 3.816
1.705 1.956 10.980
3.039 0.000 6.192
1.336 0.000 8.604
3.746 0.000 10.742
0.630 0.000 4.054
0.000 0.000 0.000
2.028 1.956 -0.315
```

Properties
Crystal system: orthorhombic
Raw total energy: -5.718 eV per atom
DOS(E_F): 0.423 states/eV/atom

=====

Crystalline DyHo3Pd3 at its relaxed geometry. Source: the Alexandria database, functional PBE.

```
DyHo3Pd3
1.0
5.676 0.006 -2.006
-2.838 4.906 -2.008
-0.003 0.006 6.020
Dy Ho Pd
1 3 3
Cartesian
-1.428 2.468 -1.010
2.826 0.020 -1.009
1.409 2.478 0.997
-0.012 0.020 3.001
1.410 2.474 -2.015
2.826 0.023 2.000
-1.431 2.474 2.000
```

Properties
Crystal system: trigonal
Raw total energy: -5.557 eV per atom
DOS(E_F): 0.843 states/eV/atom

=====

Crystalline DyHoPd at its relaxed geometry. Source: the Alexandria database, functional PBE.

```
DyHoPd
1.0
7.379 0.000 0.000
-3.689 6.390 0.000
0.000 0.000 9.671
Dy Ho Pd
6 6 6
Cartesian
-0.974 1.686 0.000
2.716 4.704 0.000
1.947 0.000 0.000
-0.974 1.686 4.835
2.716 4.704 4.835
1.947 0.000 4.835
-2.192 3.797 2.418
1.497 2.594 2.418
0.695 6.390 2.418
1.498 2.593 7.253
5.186 3.796 7.253
4.384 0.001 7.253
0.000 0.000 2.418
0.000 0.000 7.253
3.689 2.130 9.669
3.689 2.130 4.837
0.000 4.260 0.002
0.000 4.260 4.834
```

Properties
Crystal system: hexagonal
Raw total energy: -5.365 eV per atom
DOS(E_F): 1.208 states/eV/atom

=====

Crystalline DyHoPd at its relaxed geometry. Source: the Alexandria database, functional PBE.

```
DyHoPd
1.0
6.907 0.127 0.000
-0.593 6.391 0.000
0.000 0.000 7.242
Pd Dy Ho
4 4 4
Cartesian
4.486 5.194 3.275
1.033 5.130 0.346
5.281 1.388 6.895
1.828 1.324 3.967
4.915 3.951 0.770
1.461 3.888 2.850
4.853 2.631 4.391
1.399 2.567 6.471
6.344 6.015 5.373
2.890 5.951 5.489
3.424 0.567 1.752
-0.030 0.503 1.869
```

Properties
Crystal system: monoclinic
Raw total energy: -5.372 eV per atom
DOS(E_F): 1.252 states/eV/atom

=====

Crystalline DyHoPd2 at its relaxed geometry. Source: the Alexandria database, functional PBE.

```
DyHoPd2
1.0
3.747 0.000 -0.026
0.000 4.520 0.000
-1.841 0.000 5.283
Dy Ho Pd
1 1 2
Cartesian
0.895 0.000 5.160
0.878 2.260 2.258
-0.981 2.260 4.631
2.753 0.000 2.780
```

Properties
Crystal system: orthorhombic
Raw total energy: -5.817 eV per atom
DOS(E_F): 0.813 states/eV/atom

=====

Crystalline Dy3Ho2Pd2 at its relaxed geometry. Source: the Alexandria database, functional PBE.

```
Dy3Ho2Pd2
1.0
3.580 -0.001 0.927
-0.913 9.434 3.538
0.265 1.670 6.348
Dy Ho Pd
3 2 2
Cartesian
0.000 0.000 0.000
2.842 3.256 3.782
0.089 7.846 7.031
0.877 6.277 3.997
2.054 4.825 6.816
1.639 9.940 8.430
1.293 1.163 2.383
```

Properties
Crystal system: monoclinic
Raw total energy: -5.164 eV per atom
DOS(E_F): 1.200 states/eV/atom

=====

Crystalline DyHo2Pd2 at its relaxed geometry. Source: the Alexandria database, functional PBE.

```
DyHo2Pd2
1.0
-3.377 1.990 -0.378
-1.509 -3.818 -6.605
-3.704 -5.519 4.037
Dy Ho Pd
2 4 4
Cartesian
-2.443 -0.914 -3.491
-3.540 -1.765 1.829
-2.245 -4.389 -3.034
-4.355 -7.801 -2.145
-0.858 -1.536 -0.422
-2.967 -4.948 0.467
-3.603 -2.433 -1.132
-3.489 -3.049 -5.380
-5.101 -4.298 2.434
-4.988 -4.914 -1.814
```

Properties
Crystal system: tetragonal
Raw total energy: -5.568 eV per atom
DOS(E_F): 0.852 states/eV/atom

=====

Crystalline Dy3Ho3Pd4 at its relaxed geometry. Source: the Alexandria database, functional PBE.

```
Dy3Ho3Pd4
1.0
3.950 0.000 0.000
0.000 7.776 -0.025
0.000 0.044 7.775
Dy Ho Pd
3 3 4
Cartesian
1.975 6.500 1.262
1.975 2.617 2.596
1.975 5.200 5.157
0.000 3.929 7.762
0.000 0.023 3.890
1.975 1.322 6.486
0.000 4.935 2.841
0.000 2.875 4.919
0.000 6.788 6.718
0.000 1.042 1.022
```

Properties
Crystal system: orthorhombic
Raw total energy: -5.571 eV per atom
DOS(E_F): 0.820 states/eV/atom

=====

Crystalline DyHo3Pd at its relaxed geometry. Source: the Alexandria database, functional PBE.

```
DyHo3Pd
1.0
-1.843 4.572 -0.110
-3.008 -1.301 -3.667
-8.876 -6.088 6.149
Dy Ho Pd
2 6 2
Cartesian
-2.565 1.622 -0.122
-11.163 -4.440 2.493
-3.155 -1.318 -1.892
-10.572 -1.500 4.263
-8.802 -3.543 0.233
-4.926 0.725 2.137
-5.516 -2.215 0.366
-8.211 -0.603 2.005
-10.892 -1.701 1.298
-2.836 -1.117 1.073
```

Properties
Crystal system: orthorhombic
Raw total energy: -4.957 eV per atom
DOS(E_F): 1.409 states/eV/atom

=====

Crystalline DyHoPd4 at its relaxed geometry. Source: the Alexandria database, functional PBE.

```
DyHoPd4
1.0
-3.761 3.413 1.947
-3.592 2.301 -3.374
-5.224 -1.508 0.149
Ho Pd Dy
1 4 1
Cartesian
0.000 0.000 0.000
-5.248 3.383 -0.873
-6.064 1.478 0.889
-7.861 2.629 -0.798
-5.980 0.922 -1.772
-3.144 1.051 -0.319
```

Properties
Crystal system: cubic
Raw total energy: -5.805 eV per atom
DOS(E_F): 0.567 states/eV/atom

=====

Crystalline DyHo4Pd5 at its relaxed geometry. Source: the Alexandria database, functional PBE.

```
DyHo4Pd5
1.0
3.464 0.000 0.000
0.000 3.464 0.000
0.000 0.000 17.802
Dy Ho Pd
1 4 5
Cartesian
0.000 0.000 0.000
0.000 0.000 3.573
0.000 0.000 7.126
0.000 0.000 10.677
0.000 0.000 14.230
1.732 1.732 1.802
1.732 1.732 5.350
1.732 1.732 8.901
1.732 1.732 12.453
1.732 1.732 16.000
```

Properties
Crystal system: tetragonal
Raw total energy: -5.781 eV per atom
DOS(E_F): 0.804 states/eV/atom

=====

Crystalline Dy2HoPd2 at its relaxed geometry. Source: the Alexandria database, functional PBE.

```
Dy2HoPd2
1.0
-1.971 -0.885 3.306
5.069 -5.716 1.492
4.451 4.988 3.988
Dy Ho Pd
4 2 4
Cartesian
2.814 1.931 4.554
6.102 -0.083 5.975
4.735 -3.544 4.233
1.447 -1.530 2.812
0.000 0.000 0.000
4.760 -0.364 2.740
5.723 2.227 4.008
7.213 -1.803 3.817
3.797 -2.954 1.473
2.307 1.075 1.663
```

Properties
Crystal system: tetragonal
Raw total energy: -5.571 eV per atom
DOS(E_F): 0.822 states/eV/atom

=====

Crystalline DyHo5Pd2 at its relaxed geometry. Source: the Alexandria database, functional PBE.

```
DyHo5Pd2
1.0
3.743 0.000 0.000
-1.872 6.550 0.000
0.000 0.000 18.174
Dy Ho Pd
2 10 4
Cartesian
1.872 2.566 13.630
0.000 3.984 4.543
1.872 5.846 16.533
1.872 5.846 10.728
0.000 4.371 8.135
0.000 4.371 0.952
1.872 0.955 4.543
0.000 5.595 13.630
1.872 2.180 10.039
1.872 2.180 17.222
0.000 0.704 1.641
0.000 0.704 7.446
1.872 2.855 6.630
1.872 2.855 2.457
0.000 3.695 11.544
0.000 3.695 15.717
```

Properties
Crystal system: orthorhombic
Raw total energy: -5.113 eV per atom
DOS(E_F): 1.222 states/eV/atom

=====

Crystalline DyHoPd2 at its relaxed geometry. Source: the Alexandria database, functional PBE.

```
DyHoPd2
1.0
-2.499 4.276 -0.218
-1.507 2.206 4.176
2.153 4.208 1.496
Ho Pd Dy
1 2 1
Cartesian
-0.926 5.345 2.727
-0.463 2.673 1.364
-1.390 8.018 4.091
0.000 0.000 0.000
```

Properties
Crystal system: cubic
Raw total energy: -5.788 eV per atom
DOS(E_F): 0.754 states/eV/atom

=====

Crystalline DyHoPd at its relaxed geometry. Source: the Alexandria database, functional PBE.

```
DyHoPd
1.0
-1.436 -2.083 -2.477
-2.054 -1.508 2.459
-2.549 5.974 -1.014
Ho Pd Dy
1 1 1
Cartesian
-2.612 2.542 -0.623
-3.187 -0.392 -0.353
-0.240 0.234 -0.057
```

Properties
Crystal system: tetragonal
Raw total energy: -5.349 eV per atom
DOS(E_F): 0.836 states/eV/atom

=====

Crystalline Dy2Ho3Pd3 at its relaxed geometry. Source: the Alexandria database, functional PBE.

```
Dy2Ho3Pd3
1.0
3.540 0.000 0.000
0.000 5.144 0.000
-1.770 -2.572 10.465
Dy Ho Pd
2 3 3
Cartesian
1.770 0.000 4.736
0.000 2.572 5.728
1.770 2.572 2.418
0.000 0.000 8.047
1.770 0.000 0.000
0.000 0.000 2.391
0.000 2.572 0.000
1.770 2.572 8.074
```

Properties
Crystal system: orthorhombic
Raw total energy: -5.457 eV per atom
DOS(E_F): 0.905 states/eV/atom

=====

Crystalline DyHoPd2 at its relaxed geometry. Source: the Alexandria database, functional PBE.

```
DyHoPd2
1.0
-1.366 -2.920 2.506
2.264 -1.179 3.187
-2.604 3.219 5.656
Ho Pd Dy
1 2 1
Cartesian
-0.854 -0.440 5.675
-1.275 -0.668 8.505
-0.432 -0.212 2.844
0.000 0.000 0.000
```

Properties
Crystal system: trigonal
Raw total energy: -5.635 eV per atom
DOS(E_F): 0.729 states/eV/atom

=====

Crystalline Dy5Ho2Pd4 at its relaxed geometry. Source: the Alexandria database, functional PBE.

```
Dy5Ho2Pd4
1.0
-4.137 0.857 -2.236
-0.495 -4.739 -0.901
-3.637 0.840 12.162
Dy Ho Pd
5 2 4
Cartesian
-1.473 -3.780 1.275
-6.797 0.738 7.750
-2.412 -1.586 3.855
-2.068 0.429 -1.118
-5.857 -1.456 5.170
-4.816 -3.544 2.443
-3.453 0.502 6.582
-3.569 -0.606 1.262
-7.745 -1.713 8.565
-4.700 -2.436 7.763
-0.524 -1.329 0.460
```

Properties
Crystal system: monoclinic
Raw total energy: -5.250 eV per atom
DOS(E_F): 0.972 states/eV/atom

=====

Crystalline DyHoPd6 at its relaxed geometry. Source: the Alexandria database, functional PBE.

```
DyHoPd6
1.0
-3.651 1.890 -0.245
-0.583 -0.604 4.032
3.630 7.219 1.606
Dy Ho Pd
1 1 6
Cartesian
0.000 0.000 0.000
1.815 3.609 0.803
-2.117 0.643 1.894
-0.302 4.253 2.697
-0.916 2.755 0.280
0.894 6.354 1.081
0.618 1.508 2.419
2.428 5.107 3.219
```

Properties
Crystal system: tetragonal
Raw total energy: -5.922 eV per atom
DOS(E_F): 0.759 states/eV/atom

=====

Crystalline Dy4HoPd4 at its relaxed geometry. Source: the Alexandria database, functional PBE.

```
Dy4HoPd4
1.0
5.793 0.000 0.000
0.000 8.925 0.000
0.000 0.000 8.925
Dy Ho Pd
8 2 8
Cartesian
2.376 2.839 8.119
5.273 5.268 7.302
2.376 6.086 0.806
0.521 1.623 5.268
3.417 8.119 6.086
0.521 7.302 3.657
5.273 3.657 1.623
3.417 0.806 2.839
0.000 0.000 0.000
2.897 4.463 4.463
3.443 6.965 3.374
3.443 1.960 5.551
0.546 7.837 6.423
5.247 2.502 7.837
5.247 6.423 1.088
2.351 3.374 1.960
2.351 5.551 6.965
0.546 1.088 2.502
```

Properties
Crystal system: tetragonal
Raw total energy: -5.537 eV per atom
DOS(E_F): 0.793 states/eV/atom

=====

Crystalline DyHoPdRh at its relaxed geometry. Source: the Alexandria database, functional PBE.

```
DyHoPdRh
1.0
-3.106 0.613 -3.728
-1.718 -3.890 -2.417
-4.689 -1.305 0.484
Rh Ho Pd Dy
1 1 1 1
Cartesian
-4.756 -2.291 -2.830
-2.378 -1.146 -1.415
0.000 0.000 0.000
-7.134 -3.437 -4.245
```

Properties
Crystal system: cubic
Raw total energy: -6.326 eV per atom
DOS(E_F): 0.441 states/eV/atom

=====

Crystalline DyHoPdRh at its relaxed geometry. Source: the Alexandria database, functional PBE.

```
DyHoPdRh
1.0
-2.804 -1.964 0.444
1.659 -2.685 -1.399
2.296 -1.856 6.285
Dy Ho Pd Rh
1 1 1 1
Cartesian
0.841 -3.467 3.394
-0.347 -2.507 0.141
0.815 -0.659 2.231
1.971 -1.594 5.397
```

Properties
Crystal system: tetragonal
Raw total energy: -6.341 eV per atom
DOS(E_F): 0.463 states/eV/atom